First-principles (SCAN) data for a crystal of Cr2TcMo relaxed with PBEsol, as listed in Alexandria.

Values from the calculation:
- ΔE_f (eV/atom) = -0.014
- crystal system = cubic
- size of the total moment (μB per atom) = 0.106
- raw total energy (eV per atom) = -26.69
- ΔE to the lowest computed polymorph (meV per atom) = 0

a b c (Å): 5.9282 5.9282 5.9282
angles (deg): 90.00 90.00 90.00
Last column: nearest neighbours and their distance in Å.
Element x y z (fractional)
1 Cr 0.0000 0.0000 0.0000  4 Cr 2.57, 4 Mo 2.57
2 Cr 0.0000 0.5000 0.5000  4 Cr 2.57, 4 Mo 2.57
3 Cr 0.2500 0.2500 0.2500  4 Cr 2.57, 4 Tc 2.57
4 Cr 0.2500 0.7500 0.7500  4 Cr 2.57, 4 Tc 2.57
5 Cr 0.5000 0.0000 0.5000  4 Cr 2.57, 4 Mo 2.57
6 Cr 0.5000 0.5000 0.0000  4 Cr 2.57, 4 Mo 2.57
7 Cr 0.7500 0.2500 0.7500  4 Cr 2.57, 4 Tc 2.57
8 Cr 0.7500 0.7500 0.2500  4 Cr 2.57, 4 Tc 2.57
9 Tc 0.0000 0.0000 0.5000  4 Mo 2.57, 4 Cr 2.57
10 Tc 0.0000 0.5000 0.0000  4 Mo 2.57, 4 Cr 2.57
11 Tc 0.5000 0.0000 0.0000  4 Mo 2.57, 4 Cr 2.57
12 Tc 0.5000 0.5000 0.5000  4 Mo 2.57, 4 Cr 2.57
13 Mo 0.2500 0.2500 0.7500  4 Cr 2.57, 4 Tc 2.57
14 Mo 0.2500 0.7500 0.2500  4 Cr 2.57, 4 Tc 2.57
15 Mo 0.7500 0.2500 0.2500  4 Cr 2.57, 4 Tc 2.57
16 Mo 0.7500 0.7500 0.7500  4 Cr 2.57, 4 Tc 2.57

First-principles (SCAN) data for a crystal of YTc3Hg relaxed with PBEsol, as listed in Alexandria.

Values from the calculation:
- ΔE_f (eV/atom) = 2.369
- crystal system = cubic
- size of the total moment (μB per atom) = 0.623
- raw total energy (eV per atom) = -37.87

a b c (Å): 4.6999 4.6999 4.6999
angles (deg): 90.00 90.00 90.00
Last column: nearest neighbours and their distance in Å.
Element x y z (fractional)
1 Y 0.0000 0.0000 0.0000  6 Tc 2.35
2 Tc 0.0000 0.0000 0.5000  2 Y 2.35
3 Tc 0.0000 0.5000 0.0000  2 Y 2.35
4 Tc 0.5000 0.0000 0.0000  2 Y 2.35
5 Hg 0.5000 0.5000 0.5000  12 Tc 3.32

First-principles (SCAN) data for a crystal of CaZr2Tl relaxed with PBEsol, as listed in Alexandria.

Values from the calculation:
- ΔE_f (eV/atom) = 0.083
- crystal system = monoclinic
- size of the total moment (μB per atom) = 0.000
- raw total energy (eV per atom) = -35.77

a b c (Å): 6.1788 11.1358 3.1577
angles (deg): 90.00 117.87 90.00
Last column: nearest neighbours and their distance in Å.
Element x y z (fractional)
1 Ca 0.0000 0.0000 0.0000  4 Tl 3.09-3.22, 2 Ca 3.16, 4 Zr 3.22
2 Ca 0.5000 0.5000 0.0000  4 Tl 3.09-3.22, 2 Ca 3.16, 4 Zr 3.22
3 Zr 0.2500 0.2500 0.5000  6 Zr 3.09-3.22, 2 Tl 3.22, 2 Ca 3.22
4 Zr 0.2500 0.7500 0.5000  6 Zr 3.09-3.22, 2 Tl 3.22, 2 Ca 3.22
5 Zr 0.7500 0.2500 0.5000  6 Zr 3.09-3.22, 2 Tl 3.22, 2 Ca 3.22
6 Zr 0.7500 0.7500 0.5000  6 Zr 3.09-3.22, 2 Ca 3.22, 2 Tl 3.22
7 Tl 0.0000 0.5000 0.0000  4 Ca 3.09-3.22, 2 Tl 3.16, 4 Zr 3.22
8 Tl 0.5000 0.0000 0.0000  4 Ca 3.09-3.22, 2 Tl 3.16, 4 Zr 3.22

First-principles (SCAN) data for a crystal of ZnHgW2 relaxed with PBEsol, as listed in Alexandria.

Values from the calculation:
- ΔE_f (eV/atom) = 0.615
- crystal system = orthorhombic
- size of the total moment (μB per atom) = 0.000
- raw total energy (eV per atom) = -54.65
- ΔE to the lowest computed polymorph (meV per atom) = 11

a b c (Å): 3.3561 4.5347 8.4976
angles (deg): 90.00 90.00 90.00
Last column: nearest neighbours and their distance in Å.
Element x y z (fractional)
1 Zn 0.0000 0.0000 0.0000  2 Hg 2.66, 6 W 2.74-2.82
2 Zn 0.5000 0.5000 0.5000  2 Hg 2.66, 6 W 2.74-2.82
3 Hg 0.0000 0.5000 0.7430  2 Zn 2.66, 8 W 2.82-2.97
4 Hg 0.5000 0.0000 0.2430  2 Zn 2.66, 8 W 2.82-2.97
5 W 0.0000 0.0000 0.5164  2 W 2.57, 4 Zn 2.82, 2 Hg 2.87
6 W 0.0000 0.5000 0.2452  2 W 2.57, 2 Zn 2.74, 4 Hg 2.82
7 W 0.5000 0.0000 0.7452  2 W 2.57, 2 Zn 2.74, 4 Hg 2.82
8 W 0.5000 0.5000 0.0164  2 W 2.57, 4 Zn 2.82, 2 Hg 2.87

First-principles (SCAN) data for a crystal of Al2CdMo relaxed with PBEsol, as listed in Alexandria.

Values from the calculation:
- ΔE_f (eV/atom) = 0.036
- crystal system = monoclinic
- size of the total moment (μB per atom) = 0.000
- raw total energy (eV per atom) = -20.16

a b c (Å): 9.8144 2.7756 4.8499
angles (deg): 90.00 96.97 90.00
Last column: nearest neighbours and their distance in Å.
Element x y z (fractional)
1 Al 0.0000 0.0000 0.0000  4 Cd 2.75-2.85, 5 Al 2.78-3.06, 3 Mo 2.78-2.88
2 Al 0.2418 0.0000 0.7162  3 Cd 2.74-2.99, 4 Mo 2.75-2.84, 5 Al 2.78-3.06
3 Al 0.5000 0.5000 0.0000  4 Cd 2.75-2.85, 5 Al 2.78-3.06, 3 Mo 2.78-2.88
4 Al 0.7418 0.5000 0.7162  3 Cd 2.74-2.99, 4 Mo 2.75-2.84, 5 Al 2.78-3.06
5 Cd 0.4826 0.0000 0.4845  7 Al 2.74-2.99, 2 Cd 2.78, 3 Mo 2.97-2.98
6 Cd 0.9826 0.5000 0.4845  7 Al 2.74-2.99, 2 Cd 2.78, 3 Mo 2.97-2.98
7 Mo 0.2366 0.5000 0.2041  7 Al 2.75-2.88, 2 Mo 2.78, 3 Cd 2.97-2.98
8 Mo 0.7366 0.0000 0.2041  7 Al 2.75-2.88, 2 Mo 2.78, 3 Cd 2.97-2.98

First-principles (SCAN) data for a crystal of ScAlI3 relaxed with PBEsol, as listed in Alexandria.

Values from the calculation:
- formation energy from raw total energies (eV per atom) = -0.4393
- crystal system = cubic
- size of the total moment (μB per atom) = 0.000
- raw total energy (eV per atom) = -26.88

a b c (Å): 5.6384 5.6384 5.6384
angles (deg): 90.00 90.00 90.00
Last column: nearest neighbours and their distance in Å.
Element x y z (fractional)
1 Sc 0.0000 0.0000 0.0000  6 I 2.82
2 Al 0.5000 0.5000 0.5000  12 I 3.99
3 I 0.0000 0.0000 0.5000  2 Sc 2.82
4 I 0.0000 0.5000 0.0000  2 Sc 2.82
5 I 0.5000 0.0000 0.0000  2 Sc 2.82

First-principles (SCAN) data for a crystal of SrAs5 relaxed with PBEsol, as listed in Alexandria.

Values from the calculation:
- ΔE_f (eV/atom) = -0.167
- crystal system = hexagonal
- size of the total moment (μB per atom) = 0.000
- raw total energy (eV per atom) = -20.70

a b c (Å): 6.4992 6.4992 3.7118
angles (deg): 90.00 90.00 120.00
Last column: nearest neighbours and their distance in Å.
Element x y z (fractional)
1 Sr 0.0000 0.0000 0.0000  6 As 3.28
2 As 0.0000 0.4154 0.5000  4 As 2.70
3 As 0.3333 0.6667 0.0000  6 As 2.70
4 As 0.4154 0.0000 0.5000  4 As 2.70
5 As 0.5846 0.5846 0.5000  4 As 2.70
6 As 0.6667 0.3333 0.0000  6 As 2.70

First-principles (SCAN) data for a crystal of InMoP2 relaxed with PBEsol, as listed in Alexandria.

Values from the calculation:
- ΔE_f (eV/atom) = 0.392
- crystal system = orthorhombic
- size of the total moment (μB per atom) = 0.000
- raw total energy (eV per atom) = -21.88

a b c (Å): 3.1348 4.5276 8.8652
angles (deg): 90.00 90.00 90.00
Last column: nearest neighbours and their distance in Å.
Element x y z (fractional)
1 In 0.0000 0.0000 0.0000  8 P 2.75-3.04, 4 Mo 2.94-3.00
2 In 0.5000 0.5000 0.5000  8 P 2.75-3.04, 4 Mo 2.94-3.00
3 Mo 0.0000 0.5000 0.7880  2 P 2.46
4 Mo 0.5000 0.0000 0.2880  2 P 2.46
5 P 0.0000 0.0000 0.5021  2 Mo 2.46, 2 P 2.55, 4 In 2.75
6 P 0.0000 0.5000 0.2283  2 P 2.55, 4 Mo 2.80
7 P 0.5000 0.0000 0.7283  2 P 2.55, 4 Mo 2.80
8 P 0.5000 0.5000 0.0021  2 Mo 2.46, 2 P 2.55, 4 In 2.75

First-principles (SCAN) data for a crystal of NbAuF2 relaxed with PBEsol, as listed in Alexandria.

Values from the calculation:
- formation energy from raw total energies (eV per atom) = -0.6947
- crystal system = cubic
- size of the total moment (μB per atom) = 0.027
- raw total energy (eV per atom) = -28.04

a b c (Å): 5.9401 5.9401 5.9401
angles (deg): 90.00 90.00 90.00
Last column: nearest neighbours and their distance in Å.
Element x y z (fractional)
1 Nb 0.0000 0.0000 0.0000  8 F 2.57
2 Nb 0.0000 0.5000 0.5000  8 F 2.57
3 Nb 0.5000 0.0000 0.5000  8 F 2.57
4 Nb 0.5000 0.5000 0.0000  8 F 2.57
5 Au 0.0000 0.0000 0.5000  8 F 2.57
6 Au 0.0000 0.5000 0.0000  8 F 2.57
7 Au 0.5000 0.0000 0.0000  8 F 2.57
8 Au 0.5000 0.5000 0.5000  8 F 2.57
9 F 0.2500 0.2500 0.2500  4 Nb 2.57, 4 Au 2.57
10 F 0.2500 0.2500 0.7500  4 Nb 2.57, 4 Au 2.57
11 F 0.2500 0.7500 0.2500  4 Nb 2.57, 4 Au 2.57
12 F 0.2500 0.7500 0.7500  4 Nb 2.57, 4 Au 2.57
13 F 0.7500 0.2500 0.2500  4 Nb 2.57, 4 Au 2.57
14 F 0.7500 0.2500 0.7500  4 Nb 2.57, 4 Au 2.57
15 F 0.7500 0.7500 0.2500  4 Nb 2.57, 4 Au 2.57
16 F 0.7500 0.7500 0.7500  4 Nb 2.57, 4 Au 2.57

First-principles (SCAN) data for a crystal of MoIrAu2 relaxed with PBEsol, as listed in Alexandria.

Values from the calculation:
- ΔE_f (eV/atom) = 0.373
- crystal system = monoclinic
- size of the total moment (μB per atom) = 0.000
- raw total energy (eV per atom) = -60.70
- ΔE to the lowest computed polymorph (meV per atom) = 359

a b c (Å): 5.3937 9.6826 2.7745
angles (deg): 90.00 118.59 90.00
Last column: nearest neighbours and their distance in Å.
Element x y z (fractional)
1 Mo 0.0000 0.0000 0.0000  4 Ir 2.70-2.79, 2 Mo 2.77, 4 Au 2.79
2 Mo 0.5000 0.5000 0.0000  4 Ir 2.70-2.79, 2 Mo 2.77, 4 Au 2.79
3 Ir 0.0000 0.5000 0.0000  4 Mo 2.70-2.79, 2 Ir 2.77, 4 Au 2.79
4 Ir 0.5000 0.0000 0.0000  4 Mo 2.70-2.79, 2 Ir 2.77, 4 Au 2.79
5 Au 0.2500 0.2500 0.5000  6 Au 2.70-2.79, 2 Mo 2.79, 2 Ir 2.79
6 Au 0.2500 0.7500 0.5000  6 Au 2.70-2.79, 2 Mo 2.79, 2 Ir 2.79
7 Au 0.7500 0.2500 0.5000  6 Au 2.70-2.79, 2 Mo 2.79, 2 Ir 2.79
8 Au 0.7500 0.7500 0.5000  6 Au 2.70-2.79, 2 Mo 2.79, 2 Ir 2.79

First-principles (SCAN) data for a crystal of MgNb2TcHg relaxed with PBEsol, as listed in Alexandria.

Values from the calculation:
- ΔE_f (eV/atom) = 1.660
- crystal system = tetragonal
- size of the total moment (μB per atom) = 0.001
- raw total energy (eV per atom) = -33.23

a b c (Å): 4.6928 4.6928 4.4565
angles (deg): 90.00 90.00 90.00
Last column: nearest neighbours and their distance in Å.
Element x y z (fractional)
1 Mg 0.0000 0.0000 0.0000  2 Tc 2.23, 4 Nb 2.35
2 Nb 0.0000 0.5000 0.0000  2 Mg 2.35
3 Nb 0.5000 0.0000 0.0000  2 Mg 2.35
4 Tc 0.0000 0.0000 0.5000  2 Mg 2.23
5 Hg 0.5000 0.5000 0.5000  8 Nb 3.24, 4 Tc 3.32

First-principles (SCAN) data for a crystal of SbMoSe2O relaxed with PBEsol, as listed in Alexandria.

Values from the calculation:
- formation energy from raw total energies (eV per atom) = 0.5727
- crystal system = tetragonal
- size of the total moment (μB per atom) = 0.491
- raw total energy (eV per atom) = -23.13

a b c (Å): 4.4349 4.4349 4.4751
angles (deg): 90.00 90.00 90.00
Last column: nearest neighbours and their distance in Å.
Element x y z (fractional)
1 Sb 0.0000 0.0000 0.0000  2 O 2.24
2 Mo 0.5000 0.5000 0.0000  4 Sb 3.14, 8 Se 3.15
3 Se 0.0000 0.5000 0.5000  2 O 2.22
4 Se 0.5000 0.0000 0.5000  2 O 2.22
5 O 0.0000 0.0000 0.5000  4 Se 2.22, 2 Sb 2.24